(1)
PBE-GGA Ac2AsBr, optimized geometry; distance to the lowest polymorph of the same formula = 0.9119 eV/atom; total magnetization = 0.0000 μB per atom; density of states at the Fermi level = 0.770 states/eV per atom; E_form (uncorrected) = -504 meV/atom
1.0
1.972 1.139 11.056
-1.972 1.139 11.056
0.000 -2.277 11.056
Ac As Br
2 1 1
direct
0.090 0.090 0.090
0.910 0.910 0.910
0.000 0.000 0.000
0.500 0.500 0.500

---

(2)
PBE-GGA Ac3AsBr, optimized geometry; total magnetization = 0.0018 μB per atom; density of states at the Fermi level = 1.617 states/eV per atom; E_form (uncorrected) = -434 meV/atom
1.0
6.034 0.000 0.000
0.000 6.034 0.000
0.000 0.000 6.034
Ac As Br
3 1 1
direct
0.000 0.000 0.500
0.000 0.500 0.000
0.500 0.000 0.000
0.000 0.000 0.000
0.500 0.500 0.500

---

no.,density (g/cm3)
1,6.79
2,6.32